Rb3Ag2Cl2F5: relaxed, PBE.

Cell: 4.592 4.592 12.612 Å, 100.49 100.49 90.00°
Element x y z (fractional)
Rb (0.166, 0.166, 0.332)
Rb (0.834, 0.834, 0.668)
Rb (0.000, 0.000, 0.000)
Ag (0.411, 0.411, 0.823)
Ag (0.589, 0.589, 0.177)
Cl (0.691, 0.691, 0.383)
Cl (0.309, 0.309, 0.617)
F (0.586, 0.086, 0.172)
F (0.414, 0.914, 0.828)
F (0.086, 0.586, 0.172)
F (0.914, 0.414, 0.828)
F (0.500, 0.500, 0.000)

Computed properties:
Total DFT energy (no corrections) (eV/atom): -3.58
E_form (uncorrected) (meV per atom): -1773
Symmetry: I4/mmm (139)



IrRu2Pb: relaxed, PBE.

Cell: 9.240 9.240 9.240 Å, 18.16 18.16 18.16°
Element x y z (fractional)
Ir (0.250, 0.250, 0.250)
Pb (0.750, 0.750, 0.750)
Ru (0.994, 0.994, 0.994)
Ru (0.506, 0.506, 0.506)

Computed properties:
Total DFT energy (no corrections) (eV/atom): -7.17
Symmetry: R-3m (166)
Formation energy from the elements (eV per formula unit): 2.4